Material: TbYInRu
Method: DFT, PBE
State: optimized geometry

The space group is P4mm (No. 99) and the conventional cell measures 3.486, 3.486 and 7.738 Å, with angles of 90.00, 90.00 and 90.00 degrees. Symmetry generates all atoms from Tb at (0.000, 0.000, 0.000), Y at (0.000, 0.000, 0.572), In at (0.500, 0.500, 0.287) and Ru at (0.500, 0.500, 0.787).

Its crystal system is tetragonal. Its distance to the lowest polymorph of the same formula is 0 meV per atom. For the total magnetic moment, the calculation gives 0.00 Bohr magnetons per cell. The value obtained for the volume is 94.0 Å³ per cell. The calculation puts the formation energy at -447 meV per atom.

***

Material: TbZnInRu
Method: DFT, PBE
State: optimized geometry

The space group is F-43m (No. 216) and the conventional cell measures 6.760, 6.760 and 6.760 Å, with angles of 90.00, 90.00 and 90.00 degrees. Symmetry generates all atoms from Tb at (0.000, 0.000, 0.000), Zn at (0.250, 0.250, 0.250), In at (0.000, 0.000, 0.500) and Ru at (0.250, 0.250, 0.750).

Its crystal system is cubic. For the total magnetic moment, the calculation gives 0.00 Bohr magnetons per cell. The value obtained for the volume is 308.9 Å³ per cell. The calculation puts the formation energy at -152 meV per atom.

***

Material: InTcRu
Method: DFT, PBE
State: optimized geometry

The space group is F-43m (No. 216) and the conventional cell measures 6.078, 6.078 and 6.078 Å, with angles of 90.00, 90.00 and 90.00 degrees. Symmetry generates all atoms from In at (0.000, 0.000, 0.000), Tc at (0.000, 0.000, 0.500) and Ru at (0.250, 0.250, 0.250).

Its crystal system is cubic. Its distance to the lowest polymorph of the same formula is 332 meV per atom. For the total magnetic moment, the calculation gives 0.00 Bohr magnetons per cell. The value obtained for the volume is 224.5 Å³ per cell. The calculation puts the formation energy at 382 meV per atom.

***

Material: InTc2Ru
Method: DFT, PBE
State: optimized geometry

The space group is R3m (No. 160, hexagonal axes) and the conventional cell measures 2.8558, 2.8558 and 26.8880 Å, with angles of 90.00, 90.00 and 120.00 degrees. Symmetry generates all atoms from In at (0.0000, 0.0000, 0.0000), Tc at (0.0000, 0.0000, 0.5006), Tc at (0.0000, 0.0000, 0.7563) and Ru at (0.0000, 0.0000, 0.2458).

Its crystal system is trigonal. For the total magnetic moment, the calculation gives 0.00 Bohr magnetons per cell. The value obtained for the volume is 189.9 Å³ per cell. The calculation puts the formation energy at 221 meV per atom.

***

Material: InTc3Ru
Method: DFT, PBE
State: optimized geometry

The space group is Pm-3m (No. 221) and the conventional cell measures 4.675, 4.675 and 4.675 Å, with angles of 90.00, 90.00 and 90.00 degrees. Symmetry generates all atoms from In at (0.000, 0.000, 0.000), Tc at (0.000, 0.500, 0.500) and Ru at (0.500, 0.500, 0.500).

Its crystal system is cubic. Its distance to the lowest polymorph of the same formula is 0 meV per atom. For the total magnetic moment, the calculation gives 1.77 Bohr magnetons per cell. The value obtained for the volume is 102.2 Å³ per cell. The calculation puts the formation energy at 1517 meV per atom.

***

Material: InTc2Ru
Method: DFT, PBE
State: optimized geometry

The space group is P4/mmm (No. 123) and the conventional cell measures 2.821, 2.821 and 7.958 Å, with angles of 90.00, 90.00 and 90.00 degrees. Symmetry generates all atoms from In at (0.000, 0.000, 0.000), Tc at (0.500, 0.500, 0.273) and Ru at (0.000, 0.000, 0.500).

Its crystal system is tetragonal. For the total magnetic moment, the calculation gives 0.00 Bohr magnetons per cell. The value obtained for the volume is 63.3 Å³ per cell. The calculation puts the formation energy at 234 meV per atom.

***

Material: InTc2Ru
Method: DFT, PBE
State: optimized geometry

The space group is I-42d (No. 122) and the conventional cell measures 7.367, 7.367 and 5.261 Å, with angles of 90.00, 90.00 and 90.00 degrees. Symmetry generates all atoms from In at (0.000, 0.000, 0.000), Tc at (0.200, 0.250, 0.625) and Ru at (0.000, 0.000, 0.500).

Its crystal system is tetragonal. For the total magnetic moment, the calculation gives 0.00 Bohr magnetons per cell. The value obtained for the volume is 285.6 Å³ per cell. The calculation puts the formation energy at 736 meV per atom.

***

Material: In2TcRu2
Method: DFT, PBE
State: optimized geometry

The space group is P4/mbm (No. 127) and the conventional cell measures 6.518, 6.518 and 4.237 Å, with angles of 90.00, 90.00 and 90.00 degrees. Symmetry generates all atoms from In at (0.174, 0.326, 0.000), Tc at (0.000, 0.000, 0.500) and Ru at (0.135, 0.635, 0.500).

Its crystal system is tetragonal. For the total magnetic moment, the calculation gives 0.00 Bohr magnetons per cell. The value obtained for the volume is 180.0 Å³ per cell. The calculation puts the formation energy at 344 meV per atom.